This record from Alexandria via LeMat-Bulk describes a relaxed BaLiCrOs2 crystal. The functional is PBE.

```
BaLiCrOs2
1.0
5.0560 0.0000 0.0000
0.0000 5.0560 0.0000
0.0000 0.0000 4.8435
Ba Li Cr Os
1 1 1 2
direct
0.0000 0.0000 0.0000
0.5000 0.5000 0.5000
0.0000 0.0000 0.5000
0.0000 0.5000 0.0000
0.5000 0.0000 0.0000
```

Calculated values
- Magnetic moment: 0.23 μB per atom
- Total DFT energy (no corrections): -0.294 Ry/atom
- Formation energy: 3.1897 eV per atom
- Crystal system: tetragonal